VASP calculation (PBE) on a relaxed structure of Lu4Hf2In3C3.

Values from the calculation:
Its symmetry is C2/c (15). The value obtained for the spin magnetization is 0.01 μB per formula unit. For the volume, the calculation gives 476.3 Å³/cell. As for the calculated total energy: -6.72 eV per atom.

abc: 5.9668 5.9668 15.8318
angles: 101.08 101.08 60.06
Element x y z (fractional)
Lu: 0.0347 0.1909 0.0873
Lu: 0.1314 0.3042 0.4126
Lu: 0.1909 0.0347 0.5873
Lu: 0.3042 0.1314 0.9126
Lu: 0.6958 0.8686 0.0874
Lu: 0.8091 0.9653 0.4127
Lu: 0.8686 0.6958 0.5874
Lu: 0.9653 0.8091 0.9127
Hf: 0.3533 0.5253 0.0754
Hf: 0.4747 0.6467 0.4246
Hf: 0.5253 0.3533 0.5754
Hf: 0.6467 0.4747 0.9246
In: 0.1148 0.8852 0.2500
In: 0.2804 0.4176 0.7505
In: 0.4176 0.2804 0.2505
In: 0.5824 0.7196 0.7495
In: 0.7196 0.5824 0.2495
In: 0.8852 0.1148 0.7500
C: 0.0000 0.5000 0.0000
C: 0.1881 0.6559 0.5000
C: 0.3441 0.8119 0.0000
C: 0.5000 0.0000 0.5000
C: 0.6559 0.1881 0.0000
C: 0.8119 0.3441 0.5000